Entry 1:
AcDy3Tm6 after structural relaxation. Source: Alexandria, functional PBE.

The space group is P-1 (No. 2) and the conventional cell measures 6.447, 6.461 and 9.598 Å, with angles of 89.93, 70.57 and 60.17 degrees. The asymmetric unit holds Ac at (0.000, 0.000, 0.000), Dy at (0.000, 0.500, 0.500), Dy at (0.311, 0.556, 0.684), Tm at (0.122, 0.871, 0.319), Tm at (0.297, 0.352, 0.054) and Tm at (0.451, 0.992, 0.682).

The energy comes out at -4.278 eV/atom. The energy of formation from the pure elements comes out at 0.20 eV/atom. Its crystal system is triclinic.

***

Entry 2:
Pa4Si after structural relaxation. Source: Alexandria, functional PBE.

The space group is I4_1/amd (No. 141, origin choice 2) and the conventional cell measures 8.131, 8.131 and 7.798 Å, with angles of 90.00, 90.00 and 90.00 degrees. The asymmetric unit holds Pa at (0.000, 0.082, 0.201) and Si at (0.000, 0.250, 0.875).

The energy comes out at -8.515 eV/atom. For the excess energy over the best structure of this formula in the dataset, the calculation gives 0.00 eV per formula unit. Its crystal system is tetragonal. For the uncorrected formation energy, the calculation gives 3.8 kcal/mol of atoms.

***

Entry 3:
Tm12OsPb6 after structural relaxation. Source: Alexandria, functional PBE.

The space group is R-3 (No. 148, hexagonal axes) and the conventional cell measures 13.0670, 13.0670 and 12.1157 Å, with angles of 90.00, 90.00 and 120.00 degrees. The asymmetric unit holds Tm at (0.0287, 0.8426, 0.3890), Tm at (0.0655, 0.8732, 0.8795), Os at (0.0000, 0.0000, 0.0000) and Pb at (0.0434, 0.7562, 0.6369).

The energy comes out at -4.799 eV/atom. The energy of formation from the pure elements comes out at -0.21 eV/atom. Its crystal system is trigonal.

***

Entry 4:
Hf2V2Co15 after structural relaxation. Source: Alexandria, functional PBE.

The space group is R-3m (No. 166, hexagonal axes) and the conventional cell measures 8.1562, 8.1562 and 12.0565 Å, with angles of 90.00, 90.00 and 120.00 degrees. The asymmetric unit holds Hf at (0.0000, 0.0000, 0.1534), V at (0.0000, 0.0000, 0.4027), Co at (0.0000, 0.2998, 0.5000), Co at (0.0000, 0.5000, 0.0000) and Co at (0.0046, 0.5023, 0.6521).

The energy comes out at -7.745 eV/atom. The energy of formation from the pure elements comes out at -0.13 eV/atom. Its crystal system is trigonal.

***

Entry 5:
TaBeCu after structural relaxation. Source: Alexandria, functional PBE.

The space group is P3m1 (No. 156) and the conventional cell measures 2.7323, 2.7323 and 6.3684 Å, with angles of 90.00, 90.00 and 120.00 degrees. The asymmetric unit holds Ta at (0.0000, 0.0000, 0.0000), Be at (0.3333, 0.6667, 0.3469) and Cu at (0.6667, 0.3333, 0.6300).

The energy comes out at -6.253 eV/atom. For the excess energy over the best structure of this formula in the dataset, the calculation gives 1.19 eV per formula unit. The energy of formation from the pure elements comes out at 0.30 eV/atom. Its crystal system is trigonal.

***

Entry 6:
KMnCd2 after structural relaxation. Source: Alexandria, functional PBE.

The space group is Pm (No. 6) and the conventional cell measures 3.079, 4.745 and 7.594 Å, with angles of 90.00, 90.04 and 90.00 degrees. The asymmetric unit holds K at (0.000, 0.000, 0.000), Mn at (0.995, 0.500, 0.382), Cd at (0.495, 0.000, 0.430) and Cd at (0.496, 0.500, 0.699).

The energy comes out at -2.717 eV/atom. For the excess energy over the best structure of this formula in the dataset, the calculation gives 0.25 eV per formula unit. The energy of formation from the pure elements comes out at 0.31 eV/atom. Its crystal system is monoclinic.

***

Entry 7:
CeNd3 after structural relaxation. Source: Alexandria, functional PBE.

The space group is I4/mmm (No. 139) and the conventional cell measures 5.134, 5.134 and 10.375 Å, with angles of 90.00, 90.00 and 90.00 degrees. The asymmetric unit holds Ce at (0.000, 0.000, 0.000), Nd at (0.000, 0.000, 0.500) and Nd at (0.000, 0.500, 0.250).

The energy comes out at -4.969 eV/atom. For the excess energy over the best structure of this formula in the dataset, the calculation gives 0.03 eV per formula unit. The energy of formation from the pure elements comes out at 0.09 eV/atom. Its crystal system is tetragonal.

***

Entry 8:
LiIrRu after structural relaxation. Source: Alexandria, functional PBE.

The space group is C2/m (No. 12) and the conventional cell measures 8.435, 3.953 and 5.064 Å, with angles of 90.00, 102.95 and 90.00 degrees. The asymmetric unit holds Li at (0.182, 0.000, 0.064), Ir at (0.157, 0.000, 0.550) and Ru at (0.016, 0.500, 0.242).

The energy comes out at -6.667 eV/atom. For the excess energy over the best structure of this formula in the dataset, the calculation gives 0.10 eV per formula unit. The energy of formation from the pure elements comes out at 0.02 eV/atom. Its crystal system is monoclinic.

***

Entry 9:
HfAl3Au after structural relaxation. Source: Alexandria, functional PBE.

The space group is P2_1/m (No. 11) and the conventional cell measures 5.505, 5.692 and 5.648 Å, with angles of 90.00, 91.35 and 90.00 degrees. The asymmetric unit holds Hf at (0.149, 0.250, 0.143), Al at (0.328, 0.505, 0.662), Al at (0.368, 0.750, 0.050) and Au at (0.053, 0.750, 0.361).

The energy comes out at -5.212 eV/atom. For the excess energy over the best structure of this formula in the dataset, the calculation gives 0.00 eV per formula unit. The energy of formation from the pure elements comes out at -0.32 eV/atom. Its crystal system is monoclinic.

***

Entry 10:
BaIn4Hg after structural relaxation. Source: Alexandria, functional PBE.

The space group is F-43m (No. 216) and the conventional cell measures 9.032, 9.032 and 9.032 Å, with angles of 90.00, 90.00 and 90.00 degrees. The asymmetric unit holds Ba at (0.000, 0.000, 0.000), In at (0.125, 0.125, 0.375) and Hg at (0.250, 0.250, 0.750).

The energy comes out at -2.385 eV/atom. For the excess energy over the best structure of this formula in the dataset, the calculation gives 0.46 eV per formula unit. The energy of formation from the pure elements comes out at -0.19 eV/atom. Its crystal system is cubic.

***

Entry 11:
YSc2Te after structural relaxation. Source: Alexandria, functional PBE.

The space group is R3m (No. 160, hexagonal axes) and the conventional cell measures 3.7240, 3.7240 and 28.1255 Å, with angles of 90.00, 90.00 and 120.00 degrees. The asymmetric unit holds Y at (0.0000, 0.0000, 0.0000), Sc at (0.0000, 0.0000, 0.5178), Sc at (0.0000, 0.0000, 0.7616) and Te at (0.0000, 0.0000, 0.2543).

The energy comes out at -5.981 eV/atom. Its crystal system is trigonal. For the uncorrected formation energy, the calculation gives -9.5 kcal/mol of atoms.

***

Entry 12:
AlTeSe2 after structural relaxation. Source: Alexandria, functional PBE.

The space group is I4/mmm (No. 139) and the conventional cell measures 3.841, 3.841 and 15.207 Å, with angles of 90.00, 90.00 and 90.00 degrees. The asymmetric unit holds Al at (0.000, 0.000, 0.000), Te at (0.000, 0.000, 0.500) and Se at (0.000, 0.500, 0.250).

The energy comes out at -3.343 eV/atom. For the excess energy over the best structure of this formula in the dataset, the calculation gives 2.26 eV per formula unit. Its crystal system is tetragonal. For the uncorrected formation energy, the calculation gives 2.8 kcal/mol of atoms.

***

Entry 13:
AcSn2Pt3 after structural relaxation. Source: Alexandria, functional PBE.

The space group is C2/m (No. 12) and the conventional cell measures 17.548, 4.329 and 11.207 Å, with angles of 90.00, 108.03 and 90.00 degrees. The asymmetric unit holds Ac at (0.000, 0.000, 0.000), Ac at (0.149, 0.000, 0.700), Sn at (0.000, 0.500, 0.249), Sn at (0.167, 0.500, 0.449), Sn at (0.207, 0.000, 0.085), Pt at (0.000, 0.500, 0.500), Pt at (0.059, 0.000, 0.396), Pt at (0.135, 0.500, 0.175), Pt at (0.142, 0.500, 0.927) and Pt at (0.213, 0.000, 0.333).

The energy comes out at -5.840 eV/atom. The energy of formation from the pure elements comes out at -0.80 eV/atom. Its crystal system is monoclinic.

***

Entry 14:
Cs2SrSnBr6 after structural relaxation. Source: Alexandria, functional PBE.

The space group is P4/mmm (No. 123) and the conventional cell measures 5.959, 5.959 and 11.960 Å, with angles of 90.00, 90.00 and 90.00 degrees. The asymmetric unit holds Cs at (0.000, 0.000, 0.243), Sr at (0.500, 0.500, 0.500), Sn at (0.500, 0.500, 0.000), Br at (0.000, 0.500, 0.000), Br at (0.000, 0.500, 0.500) and Br at (0.500, 0.500, 0.246).

The energy comes out at -3.346 eV/atom. For the excess energy over the best structure of this formula in the dataset, the calculation gives 0.00 eV per formula unit. Its crystal system is tetragonal. For the uncorrected formation energy, the calculation gives -37.0 kcal/mol of atoms.

***

Entry 15:
Nd6SmHo5 after structural relaxation. Source: Alexandria, functional PBE.

The space group is Immm (No. 71) and the conventional cell measures 5.128, 10.142 and 15.347 Å, with angles of 90.00, 90.00 and 90.00 degrees. The asymmetric unit holds Nd at (0.000, 0.249, 0.000), Nd at (0.000, 0.251, 0.333), Sm at (0.000, 0.000, 0.500), Ho at (0.000, 0.000, 0.167), Ho at (0.000, 0.500, 0.167) and Ho at (0.000, 0.500, 0.500).

The energy comes out at -4.669 eV/atom. The energy of formation from the pure elements comes out at 0.02 eV/atom. Its crystal system is orthorhombic.

***

Entry 16:
Pr3BeGa2Rh3 after structural relaxation. Source: Alexandria, functional PBE.

The space group is P-62m (No. 189) and the conventional cell measures 7.3902, 7.3902 and 3.8146 Å, with angles of 90.00, 90.00 and 120.00 degrees. The asymmetric unit holds Pr at (0.0000, 0.6230, 0.0000), Be at (0.0000, 0.0000, 0.0000), Ga at (0.3333, 0.6667, 0.5000) and Rh at (0.0000, 0.2229, 0.5000).

The energy comes out at -5.686 eV/atom. The energy of formation from the pure elements comes out at -0.56 eV/atom. Its crystal system is hexagonal.

***

Entry 17:
RbYTeF2 after structural relaxation. Source: Alexandria, functional PBE.

The space group is P4/mmm (No. 123) and the conventional cell measures 4.699, 4.699 and 6.030 Å, with angles of 90.00, 90.00 and 90.00 degrees. The asymmetric unit holds Rb at (0.000, 0.000, 0.000), Y at (0.500, 0.500, 0.500), Te at (0.500, 0.500, 0.000) and F at (0.000, 0.500, 0.500).

The energy comes out at -5.467 eV/atom. Its crystal system is tetragonal. For the uncorrected formation energy, the calculation gives -60.0 kcal/mol of atoms.

***

Entry 18:
PmPaMo after structural relaxation. Source: Alexandria, functional PBE.

The space group is R-3m (No. 166, hexagonal axes) and the conventional cell measures 5.0714, 5.0714 and 20.0319 Å, with angles of 90.00, 90.00 and 120.00 degrees. The asymmetric unit holds Pm at (0.0000, 0.0000, 0.1109), Pa at (0.0000, 0.0000, 0.4255) and Mo at (0.0000, 0.0000, 0.3070).

The energy comes out at -7.774 eV/atom. The energy of formation from the pure elements comes out at 0.58 eV/atom. Its crystal system is trigonal.

***

Entry 19:
PrPu4Hg5 after structural relaxation. Source: Alexandria, functional PBE.

The space group is P4/mmm (No. 123) and the conventional cell measures 3.851, 3.851 and 18.284 Å, with angles of 90.00, 90.00 and 90.00 degrees. The asymmetric unit holds Pr at (0.000, 0.000, 0.000), Pu at (0.000, 0.000, 0.205), Pu at (0.000, 0.000, 0.402), Hg at (0.500, 0.500, 0.104), Hg at (0.500, 0.500, 0.303) and Hg at (0.500, 0.500, 0.500).

The energy comes out at -6.528 eV/atom. The energy of formation from the pure elements comes out at -0.17 eV/atom. Its crystal system is tetragonal.

***

Entry 20:
LiIn2P2 after structural relaxation. Source: Alexandria, functional PBE.

The space group is P4/mbm (No. 127) and the conventional cell measures 7.388, 7.388 and 3.702 Å, with angles of 90.00, 90.00 and 90.00 degrees. The asymmetric unit holds Li at (0.000, 0.000, 0.000), In at (0.147, 0.353, 0.500) and P at (0.164, 0.664, 0.000).

The energy comes out at -3.676 eV/atom. For the excess energy over the best structure of this formula in the dataset, the calculation gives 0.00 eV per formula unit. The energy of formation from the pure elements comes out at -0.03 eV/atom. Its crystal system is tetragonal.